[1]
# K2NaMg2 GGA-PBE relaxed
# ΔE_f	190	meV/atom
# offset from the most stable computed form	8.0	kJ/mol of formula units
data_K2NaMg2
_symmetry_space_group_name_H-M 'P 1'
_symmetry_Int_Tables_number 1
_cell_length_a 8.8351
_cell_length_b 8.8351
_cell_length_c 5.6678
_cell_angle_alpha 90.00
_cell_angle_beta 90.00
_cell_angle_gamma 90.00
loop_
_symmetry_equiv_pos_as_xyz
'x,y,z'
loop_
_atom_site_label
_atom_site_type_symbol
_atom_site_fract_x
_atom_site_fract_y
_atom_site_fract_z
_atom_site_occupancy
K1 K 0.1746 0.3254 0.0000 1
K2 K 0.3254 0.8254 0.0000 1
K3 K 0.6746 0.1746 0.0000 1
K4 K 0.8254 0.6746 0.0000 1
Na1 Na 0.0000 0.0000 0.5000 1
Na2 Na 0.5000 0.5000 0.5000 1
Mg1 Mg 0.1234 0.6234 0.5000 1
Mg2 Mg 0.3766 0.1234 0.5000 1
Mg3 Mg 0.6234 0.8766 0.5000 1
Mg4 Mg 0.8766 0.3766 0.5000 1

[2]
# KNa2MgNb GGA-PBE relaxed
# ΔE_f	1285	meV/atom
data_KNa2MgNb
_symmetry_space_group_name_H-M 'P 1'
_symmetry_Int_Tables_number 1
_cell_length_a 5.8088
_cell_length_b 5.8088
_cell_length_c 6.3201
_cell_angle_alpha 90.00
_cell_angle_beta 90.00
_cell_angle_gamma 90.00
loop_
_symmetry_equiv_pos_as_xyz
'x,y,z'
loop_
_atom_site_label
_atom_site_type_symbol
_atom_site_fract_x
_atom_site_fract_y
_atom_site_fract_z
_atom_site_occupancy
K1 K 0.0000 0.0000 0.0000 1
Na1 Na 0.0000 0.5000 0.5000 1
Na2 Na 0.5000 0.0000 0.5000 1
Mg1 Mg 0.0000 0.0000 0.5000 1
Nb1 Nb 0.5000 0.5000 0.0000 1

[3]
# KNaMg6O7 GGA-PBE relaxed
# formation energy without anion corrections	-1.917	eV per atom
# offset from the most stable computed form	87.5	kJ/mol of formula units
data_KNaMg6O7
_symmetry_space_group_name_H-M 'P 1'
_symmetry_Int_Tables_number 1
_cell_length_a 4.2437
_cell_length_b 4.2437
_cell_length_c 11.0755
_cell_angle_alpha 90.00
_cell_angle_beta 90.00
_cell_angle_gamma 90.00
loop_
_symmetry_equiv_pos_as_xyz
'x,y,z'
loop_
_atom_site_label
_atom_site_type_symbol
_atom_site_fract_x
_atom_site_fract_y
_atom_site_fract_z
_atom_site_occupancy
K1 K 0.0000 0.0000 0.0000 1
Na1 Na 0.0000 0.0000 0.5175 1
Mg1 Mg 0.0000 0.5000 0.3156 1
Mg2 Mg 0.0000 0.5000 0.7053 1
Mg3 Mg 0.5000 0.0000 0.3156 1
Mg4 Mg 0.5000 0.0000 0.7053 1
Mg5 Mg 0.5000 0.5000 0.1185 1
Mg6 Mg 0.5000 0.5000 0.5282 1
O1 O 0.0000 0.0000 0.3185 1
O2 O 0.0000 0.0000 0.7396 1
O3 O 0.0000 0.5000 0.1337 1
O4 O 0.0000 0.5000 0.5087 1
O5 O 0.5000 0.0000 0.1337 1
O6 O 0.5000 0.0000 0.5087 1
O7 O 0.5000 0.5000 0.7118 1

[4]
# KNaMg6O7 GGA-PBE relaxed
# formation energy without anion corrections	-1.921	eV per atom
# offset from the most stable computed form	81.4	kJ/mol of formula units
data_KNaMg6O7
_symmetry_space_group_name_H-M 'P 1'
_symmetry_Int_Tables_number 1
_cell_length_a 4.5798
_cell_length_b 4.5798
_cell_length_c 8.5688
_cell_angle_alpha 90.00
_cell_angle_beta 90.00
_cell_angle_gamma 90.00
loop_
_symmetry_equiv_pos_as_xyz
'x,y,z'
loop_
_atom_site_label
_atom_site_type_symbol
_atom_site_fract_x
_atom_site_fract_y
_atom_site_fract_z
_atom_site_occupancy
K1 K 0.0000 0.0000 0.0000 1
Na1 Na 0.5000 0.5000 0.9826 1
Mg1 Mg 0.0000 0.0000 0.4967 1
Mg2 Mg 0.0000 0.5000 0.2258 1
Mg3 Mg 0.0000 0.5000 0.7488 1
Mg4 Mg 0.5000 0.0000 0.2258 1
Mg5 Mg 0.5000 0.0000 0.7488 1
Mg6 Mg 0.5000 0.5000 0.4814 1
O1 O 0.0000 0.0000 0.7183 1
O2 O 0.0000 0.5000 0.4624 1
O3 O 0.0000 0.5000 0.9959 1
O4 O 0.5000 0.0000 0.4624 1
O5 O 0.5000 0.0000 0.9959 1
O6 O 0.5000 0.5000 0.2471 1
O7 O 0.5000 0.5000 0.7145 1

[5]
# KNaMg6O7 GGA-PBE relaxed
# formation energy without anion corrections	-1.959	eV per atom
# offset from the most stable computed form	27.0	kJ/mol of formula units
data_KNaMg6O7
_symmetry_space_group_name_H-M 'P 1'
_symmetry_Int_Tables_number 1
_cell_length_a 4.2491
_cell_length_b 4.2491
_cell_length_c 11.1695
_cell_angle_alpha 90.00
_cell_angle_beta 90.00
_cell_angle_gamma 90.00
loop_
_symmetry_equiv_pos_as_xyz
'x,y,z'
loop_
_atom_site_label
_atom_site_type_symbol
_atom_site_fract_x
_atom_site_fract_y
_atom_site_fract_z
_atom_site_occupancy
K1 K 0.0000 0.0000 0.0000 1
Na1 Na 0.5000 0.5000 0.0780 1
Mg1 Mg 0.0000 0.0000 0.5118 1
Mg2 Mg 0.0000 0.5000 0.2931 1
Mg3 Mg 0.0000 0.5000 0.7096 1
Mg4 Mg 0.5000 0.0000 0.2931 1
Mg5 Mg 0.5000 0.0000 0.7096 1
Mg6 Mg 0.5000 0.5000 0.5292 1
O1 O 0.0000 0.0000 0.3332 1
O2 O 0.0000 0.0000 0.7224 1
O3 O 0.0000 0.5000 0.1240 1
O4 O 0.0000 0.5000 0.5220 1
O5 O 0.5000 0.0000 0.1240 1
O6 O 0.5000 0.0000 0.5220 1
O7 O 0.5000 0.5000 0.7186 1

[6]
# KNaMg6O7 GGA-PBE relaxed
# formation energy without anion corrections	-1.978	eV per atom
# offset from the most stable computed form	0.0	kJ/mol of formula units
data_KNaMg6O7
_symmetry_space_group_name_H-M 'P 1'
_symmetry_Int_Tables_number 1
_cell_length_a 4.6273
_cell_length_b 4.6273
_cell_length_c 8.2504
_cell_angle_alpha 90.00
_cell_angle_beta 90.00
_cell_angle_gamma 90.00
loop_
_symmetry_equiv_pos_as_xyz
'x,y,z'
loop_
_atom_site_label
_atom_site_type_symbol
_atom_site_fract_x
_atom_site_fract_y
_atom_site_fract_z
_atom_site_occupancy
K1 K 0.0000 0.0000 0.0000 1
Na1 Na 0.0000 0.0000 0.4671 1
Mg1 Mg 0.0000 0.5000 0.2149 1
Mg2 Mg 0.0000 0.5000 0.7170 1
Mg3 Mg 0.5000 0.0000 0.2149 1
Mg4 Mg 0.5000 0.0000 0.7170 1
Mg5 Mg 0.5000 0.5000 0.4650 1
Mg6 Mg 0.5000 0.5000 0.9613 1
O1 O 0.0000 0.0000 0.7194 1
O2 O 0.0000 0.5000 0.4483 1
O3 O 0.0000 0.5000 0.9772 1
O4 O 0.5000 0.0000 0.4483 1
O5 O 0.5000 0.0000 0.9772 1
O6 O 0.5000 0.5000 0.2129 1
O7 O 0.5000 0.5000 0.7132 1

[7]
# KNa2MgOs GGA-PBE relaxed
# ΔE_f	1260	meV/atom
data_KNa2MgOs
_symmetry_space_group_name_H-M 'P 1'
_symmetry_Int_Tables_number 1
_cell_length_a 5.7312
_cell_length_b 5.7312
_cell_length_c 6.0552
_cell_angle_alpha 90.00
_cell_angle_beta 90.00
_cell_angle_gamma 90.00
loop_
_symmetry_equiv_pos_as_xyz
'x,y,z'
loop_
_atom_site_label
_atom_site_type_symbol
_atom_site_fract_x
_atom_site_fract_y
_atom_site_fract_z
_atom_site_occupancy
K1 K 0.0000 0.0000 0.0000 1
Na1 Na 0.0000 0.5000 0.5000 1
Na2 Na 0.5000 0.0000 0.5000 1
Mg1 Mg 0.5000 0.5000 0.0000 1
Os1 Os 0.0000 0.0000 0.5000 1

[8]
# K2NaMgP2 GGA-PBE relaxed
# ΔE_f	-394	meV/atom
data_K2NaMgP2
_symmetry_space_group_name_H-M 'P 1'
_symmetry_Int_Tables_number 1
_cell_length_a 8.9236
_cell_length_b 8.9236
_cell_length_c 8.9236
_cell_angle_alpha 135.93
_cell_angle_beta 62.74
_cell_angle_gamma 137.70
loop_
_symmetry_equiv_pos_as_xyz
'x,y,z'
loop_
_atom_site_label
_atom_site_type_symbol
_atom_site_fract_x
_atom_site_fract_y
_atom_site_fract_z
_atom_site_occupancy
K1 K 0.1778 0.2378 0.4156 1
K2 K 0.3222 0.7378 0.0599 1
K3 K 0.6778 0.2622 0.9401 1
K4 K 0.8222 0.7622 0.5844 1
Na1 Na 0.2500 0.2500 0.0000 1
Na2 Na 0.7500 0.7500 0.0000 1
Mg1 Mg 0.2500 0.7500 0.5000 1
Mg2 Mg 0.7500 0.2500 0.5000 1
P1 P 0.0989 0.7164 0.8153 1
P2 P 0.4011 0.2164 0.6175 1
P3 P 0.5989 0.7836 0.3825 1
P4 P 0.9011 0.2836 0.1847 1

[9]
# KNa2MgPt GGA-PBE relaxed
# ΔE_f	-107	meV/atom
data_KNa2MgPt
_symmetry_space_group_name_H-M 'P 1'
_symmetry_Int_Tables_number 1
_cell_length_a 5.6602
_cell_length_b 5.6602
_cell_length_c 5.1022
_cell_angle_alpha 90.00
_cell_angle_beta 90.00
_cell_angle_gamma 90.00
loop_
_symmetry_equiv_pos_as_xyz
'x,y,z'
loop_
_atom_site_label
_atom_site_type_symbol
_atom_site_fract_x
_atom_site_fract_y
_atom_site_fract_z
_atom_site_occupancy
K1 K 0.0000 0.0000 0.0000 1
Na1 Na 0.0000 0.5000 0.5000 1
Na2 Na 0.5000 0.0000 0.5000 1
Mg1 Mg 0.5000 0.5000 0.0000 1
Pt1 Pt 0.5000 0.5000 0.5000 1

[10]
# KRbNaMg GGA-PBE relaxed
# ΔE_f	156	meV/atom
data_KRbNaMg
_symmetry_space_group_name_H-M 'P 1'
_symmetry_Int_Tables_number 1
_cell_length_a 6.4781
_cell_length_b 6.4781
_cell_length_c 6.4781
_cell_angle_alpha 60.00
_cell_angle_beta 60.00
_cell_angle_gamma 60.00
loop_
_symmetry_equiv_pos_as_xyz
'x,y,z'
loop_
_atom_site_label
_atom_site_type_symbol
_atom_site_fract_x
_atom_site_fract_y
_atom_site_fract_z
_atom_site_occupancy
K1 K 0.0000 0.0000 0.0000 1
Rb1 Rb 0.2500 0.2500 0.2500 1
Na1 Na 0.5000 0.5000 0.5000 1
Mg1 Mg 0.7500 0.7500 0.7500 1

[11]
# KRbNa2Mg GGA-PBE relaxed
# ΔE_f	185	meV/atom
data_KRbNa2Mg
_symmetry_space_group_name_H-M 'P 1'
_symmetry_Int_Tables_number 1
_cell_length_a 6.3985
_cell_length_b 6.3985
_cell_length_c 6.8832
_cell_angle_alpha 90.00
_cell_angle_beta 90.00
_cell_angle_gamma 90.00
loop_
_symmetry_equiv_pos_as_xyz
'x,y,z'
loop_
_atom_site_label
_atom_site_type_symbol
_atom_site_fract_x
_atom_site_fract_y
_atom_site_fract_z
_atom_site_occupancy
K1 K 0.0000 0.0000 0.0000 1
Rb1 Rb 0.5000 0.5000 0.0000 1
Na1 Na 0.0000 0.5000 0.5000 1
Na2 Na 0.5000 0.0000 0.5000 1
Mg1 Mg 0.0000 0.0000 0.5000 1